Density functional theory data (PBE with a Hubbard U) for CoSiRh2O6 after structural relaxation.

Results
- symmetry = No. 146
- E (eV per cell) = -67.9
- calculated volume (Å³ per atom) = 10.1
- magnetization (μB/f.u.) = 3.00

Cell and atoms, written as POSCAR:
```
CoSiRh2O6
1.0
5.0367 0.0001 0.0005
2.5183 4.3621 0.0007
2.5181 1.4542 4.5996
O Rh Co Si
6 2 1 1
Direct
0.5764 0.2313 0.2286
0.6861 0.1189 0.7733
0.2313 0.9636 0.2287
0.9637 0.5764 0.2286
0.4218 0.6861 0.7732
0.1188 0.4218 0.7732
0.5166 0.5166 0.4502
0.0125 0.0125 0.9625
0.8130 0.8132 0.5608
0.3213 0.3213 0.0361
```